1.
Material: Tb2CeHgC
Method: DFT, PBE-GGA
State: optimized geometry

Calculated values
Energy of formation: -0.31 eV/atom
Magnetization: 0.11 μB per cell
Theoretical density: 9.28 g cm⁻³
E: -5.2585 eV per atom

```
data_Tb2CeHgC
_chemical_formula_sum 'Tb2 Ce1 Hg1 C1'
_space_group_name_H-M_alt 'P 1'
_space_group_IT_number 1
_cell_length_a 4.9623
_cell_length_b 4.9623
_cell_length_c 4.8747
_cell_angle_alpha 90.00
_cell_angle_beta 90.00
_cell_angle_gamma 90.00
loop_
_space_group_symop_operation_xyz
'x,y,z'
loop_
_atom_site_label
_atom_site_type_symbol
_atom_site_fract_x
_atom_site_fract_y
_atom_site_fract_z
_atom_site_occupancy
Tb1 Tb 0.0000 0.5000 0.0000 1
Tb2 Tb 0.5000 0.0000 0.0000 1
Ce1 Ce 0.0000 0.0000 0.5000 1
Hg1 Hg 0.5000 0.5000 0.5000 1
C1 C 0.0000 0.0000 0.0000 1
```

---

2.
Material: Zr7Ta
Method: DFT, PBE-GGA
State: optimized geometry

Calculated values
Energy of formation: 0.11 eV/atom
Magnetization: 0.00 μB per cell
Theoretical density: 7.54 g cm⁻³
E: -8.8547 eV per atom

```
data_Zr7Ta
_chemical_formula_sum 'Zr7 Ta1'
_space_group_name_H-M_alt 'P 1'
_space_group_IT_number 1
_cell_length_a 6.3428
_cell_length_b 6.3428
_cell_length_c 6.3428
_cell_angle_alpha 60.00
_cell_angle_beta 60.00
_cell_angle_gamma 60.00
loop_
_space_group_symop_operation_xyz
'x,y,z'
loop_
_atom_site_label
_atom_site_type_symbol
_atom_site_fract_x
_atom_site_fract_y
_atom_site_fract_z
_atom_site_occupancy
Zr1 Zr 0.0000 0.0000 0.0000 1
Zr2 Zr 0.0000 0.0000 0.5000 1
Zr3 Zr 0.0000 0.5000 0.0000 1
Zr4 Zr 0.0000 0.5000 0.5000 1
Zr5 Zr 0.5000 0.0000 0.0000 1
Zr6 Zr 0.5000 0.0000 0.5000 1
Zr7 Zr 0.5000 0.5000 0.0000 1
Ta1 Ta 0.5000 0.5000 0.5000 1
```

---

3.
Material: BeFeCo2
Method: DFT, PBE-GGA
State: optimized geometry

Calculated values
Energy of formation: -0.09 eV/atom
Magnetization: 4.85 μB per cell
Theoretical density: 7.52 g cm⁻³
E: -6.6950 eV per atom

```
data_BeFeCo2
_chemical_formula_sum 'Be1 Fe1 Co2'
_space_group_name_H-M_alt 'P 1'
_space_group_IT_number 1
_cell_length_a 2.4999
_cell_length_b 2.4999
_cell_length_c 6.4554
_cell_angle_alpha 90.00
_cell_angle_beta 90.00
_cell_angle_gamma 90.00
loop_
_space_group_symop_operation_xyz
'x,y,z'
loop_
_atom_site_label
_atom_site_type_symbol
_atom_site_fract_x
_atom_site_fract_y
_atom_site_fract_z
_atom_site_occupancy
Be1 Be 0.0000 0.0000 0.0000 1
Fe1 Fe 0.5000 0.5000 0.7644 1
Co1 Co 0.0000 0.0000 0.4745 1
Co2 Co 0.5000 0.5000 0.2188 1
```

---

4.
Material: Na2YAg
Method: DFT, PBE-GGA
State: optimized geometry

Calculated values
Energy of formation: 0.33 eV/atom
Magnetization: 0.00 μB per cell
Theoretical density: 3.87 g cm⁻³
Relative energy among the computed polymorphs: 25 meV/atom
E: -2.6538 eV per atom

```
data_Na2YAg
_chemical_formula_sum 'Na8 Y4 Ag4'
_space_group_name_H-M_alt 'P 1'
_space_group_IT_number 1
_cell_length_a 7.4692
_cell_length_b 7.4692
_cell_length_c 7.4692
_cell_angle_alpha 90.00
_cell_angle_beta 90.00
_cell_angle_gamma 90.00
loop_
_space_group_symop_operation_xyz
'x,y,z'
loop_
_atom_site_label
_atom_site_type_symbol
_atom_site_fract_x
_atom_site_fract_y
_atom_site_fract_z
_atom_site_occupancy
Na1 Na 0.2500 0.2500 0.2500 1
Na2 Na 0.2500 0.2500 0.7500 1
Na3 Na 0.2500 0.7500 0.2500 1
Na4 Na 0.2500 0.7500 0.7500 1
Na5 Na 0.7500 0.2500 0.2500 1
Na6 Na 0.7500 0.2500 0.7500 1
Na7 Na 0.7500 0.7500 0.2500 1
Na8 Na 0.7500 0.7500 0.7500 1
Y1 Y 0.0000 0.0000 0.0000 1
Y2 Y 0.0000 0.5000 0.5000 1
Y3 Y 0.5000 0.0000 0.5000 1
Y4 Y 0.5000 0.5000 0.0000 1
Ag1 Ag 0.0000 0.0000 0.5000 1
Ag2 Ag 0.0000 0.5000 0.0000 1
Ag3 Ag 0.5000 0.0000 0.0000 1
Ag4 Ag 0.5000 0.5000 0.5000 1
```

---

5.
Material: LiAc2Ag2O6
Method: DFT, PBE-GGA
State: optimized geometry

Calculated values
Magnetization: 1.82 μB per cell
Uncorrected formation energy: -1.391 eV per atom
Theoretical density: 7.25 g cm⁻³
E: -5.5347 eV per atom

```
data_LiAc2Ag2O6
_chemical_formula_sum 'Li1 Ac2 Ag2 O6'
_space_group_name_H-M_alt 'P 1'
_space_group_IT_number 1
_cell_length_a 6.5392
_cell_length_b 6.5392
_cell_length_c 6.5392
_cell_angle_alpha 55.49
_cell_angle_beta 55.49
_cell_angle_gamma 55.49
loop_
_space_group_symop_operation_xyz
'x,y,z'
loop_
_atom_site_label
_atom_site_type_symbol
_atom_site_fract_x
_atom_site_fract_y
_atom_site_fract_z
_atom_site_occupancy
Li1 Li 0.0000 0.0000 0.0000 1
Ac1 Ac 0.2104 0.2104 0.2104 1
Ac2 Ac 0.7896 0.7896 0.7896 1
Ag1 Ag 0.4140 0.4140 0.4140 1
Ag2 Ag 0.5860 0.5860 0.5860 1
O1 O 0.1866 0.7653 0.7653 1
O2 O 0.2347 0.2347 0.8134 1
O3 O 0.2347 0.8134 0.2347 1
O4 O 0.7653 0.1866 0.7653 1
O5 O 0.7653 0.7653 0.1866 1
O6 O 0.8134 0.2347 0.2347 1
```

---

6.
Material: CeAuBr6
Method: DFT, PBE-GGA
State: optimized geometry

Calculated values
Magnetization: 0.17 μB per cell
Uncorrected formation energy: -0.985 eV per atom
Theoretical density: 4.24 g cm⁻³
Relative energy among the computed polymorphs: 0 meV/atom
E: -3.3914 eV per atom

```
data_CeAuBr6
_chemical_formula_sum 'Ce2 Au2 Br12'
_space_group_name_H-M_alt 'P 1'
_space_group_IT_number 1
_cell_length_a 7.6560
_cell_length_b 11.8916
_cell_length_c 7.1970
_cell_angle_alpha 90.00
_cell_angle_beta 102.56
_cell_angle_gamma 90.00
loop_
_space_group_symop_operation_xyz
'x,y,z'
loop_
_atom_site_label
_atom_site_type_symbol
_atom_site_fract_x
_atom_site_fract_y
_atom_site_fract_z
_atom_site_occupancy
Ce1 Ce 0.0000 0.0000 0.0000 1
Ce2 Ce 0.5000 0.5000 0.0000 1
Au1 Au 0.0000 0.0000 0.5000 1
Au2 Au 0.5000 0.5000 0.5000 1
Br1 Br 0.1075 0.1594 0.7479 1
Br2 Br 0.1075 0.8406 0.7479 1
Br3 Br 0.1645 0.5000 0.7784 1
Br4 Br 0.3355 0.0000 0.2216 1
Br5 Br 0.3925 0.3406 0.2521 1
Br6 Br 0.3925 0.6594 0.2521 1
Br7 Br 0.6075 0.3406 0.7479 1
Br8 Br 0.6075 0.6594 0.7479 1
Br9 Br 0.6645 0.0000 0.7784 1
Br10 Br 0.8355 0.5000 0.2216 1
Br11 Br 0.8925 0.1594 0.2521 1
Br12 Br 0.8925 0.8406 0.2521 1
```

---

7.
Material: Rb2AgP
Method: DFT, PBE-GGA
State: optimized geometry

Calculated values
Energy of formation: -0.12 eV/atom
Magnetization: 0.00 μB per cell
Theoretical density: 2.57 g cm⁻³
E: -2.6737 eV per atom

```
data_Rb2AgP
_chemical_formula_sum 'Rb8 Ag4 P4'
_space_group_name_H-M_alt 'P 1'
_space_group_IT_number 1
_cell_length_a 12.9802
_cell_length_b 12.9802
_cell_length_c 4.7539
_cell_angle_alpha 90.00
_cell_angle_beta 90.00
_cell_angle_gamma 90.00
loop_
_space_group_symop_operation_xyz
'x,y,z'
loop_
_atom_site_label
_atom_site_type_symbol
_atom_site_fract_x
_atom_site_fract_y
_atom_site_fract_z
_atom_site_occupancy
Rb1 Rb 0.0484 0.2500 0.1250 1
Rb2 Rb 0.2500 0.5484 0.3750 1
Rb3 Rb 0.2500 0.9516 0.8750 1
Rb4 Rb 0.4516 0.2500 0.6250 1
Rb5 Rb 0.5484 0.7500 0.6250 1
Rb6 Rb 0.7500 0.0484 0.8750 1
Rb7 Rb 0.7500 0.4516 0.3750 1
Rb8 Rb 0.9516 0.7500 0.1250 1
Ag1 Ag 0.0000 0.0000 0.5000 1
Ag2 Ag 0.0000 0.5000 0.7500 1
Ag3 Ag 0.5000 0.0000 0.2500 1
Ag4 Ag 0.5000 0.5000 0.0000 1
P1 P 0.0000 0.0000 0.0000 1
P2 P 0.0000 0.5000 0.2500 1
P3 P 0.5000 0.0000 0.7500 1
P4 P 0.5000 0.5000 0.5000 1
```

---

8.
Material: Na2AgCl4
Method: DFT, PBE-GGA
State: optimized geometry

Calculated values
Magnetization: 1.97 μB per cell
Uncorrected formation energy: -1.052 eV per atom
Theoretical density: 2.63 g cm⁻³
Relative energy among the computed polymorphs: 116 meV/atom
E: -2.8914 eV per atom

```
data_Na2AgCl4
_chemical_formula_sum 'Na4 Ag2 Cl8'
_space_group_name_H-M_alt 'P 1'
_space_group_IT_number 1
_cell_length_a 7.2429
_cell_length_b 7.1125
_cell_length_c 7.5147
_cell_angle_alpha 90.00
_cell_angle_beta 105.01
_cell_angle_gamma 90.00
loop_
_space_group_symop_operation_xyz
'x,y,z'
loop_
_atom_site_label
_atom_site_type_symbol
_atom_site_fract_x
_atom_site_fract_y
_atom_site_fract_z
_atom_site_occupancy
Na1 Na 0.1932 0.2500 0.0468 1
Na2 Na 0.1947 0.2500 0.5510 1
Na3 Na 0.8053 0.7500 0.4490 1
Na4 Na 0.8068 0.7500 0.9532 1
Ag1 Ag 0.2779 0.7500 0.3174 1
Ag2 Ag 0.7221 0.2500 0.6826 1
Cl1 Cl 0.0163 0.5048 0.2533 1
Cl2 Cl 0.0163 0.9952 0.2533 1
Cl3 Cl 0.4931 0.2500 0.8745 1
Cl4 Cl 0.4943 0.2500 0.3750 1
Cl5 Cl 0.5057 0.7500 0.6250 1
Cl6 Cl 0.5069 0.7500 0.1255 1
Cl7 Cl 0.9837 0.0048 0.7467 1
Cl8 Cl 0.9837 0.4952 0.7467 1
```

---

9.
Material: Pr5NdSc
Method: DFT, PBE-GGA
State: optimized geometry

Calculated values
Energy of formation: 0.23 eV/atom
Magnetization: 0.00 μB per cell
Theoretical density: 5.83 g cm⁻³
E: -4.7689 eV per atom

```
data_Pr5NdSc
_chemical_formula_sum 'Pr5 Nd1 Sc1'
_space_group_name_H-M_alt 'P 1'
_space_group_IT_number 1
_cell_length_a 5.4093
_cell_length_b 5.4093
_cell_length_c 8.7008
_cell_angle_alpha 90.00
_cell_angle_beta 90.00
_cell_angle_gamma 90.00
loop_
_space_group_symop_operation_xyz
'x,y,z'
loop_
_atom_site_label
_atom_site_type_symbol
_atom_site_fract_x
_atom_site_fract_y
_atom_site_fract_z
_atom_site_occupancy
Pr1 Pr 0.0000 0.0000 0.0000 1
Pr2 Pr 0.0000 0.5000 0.2899 1
Pr3 Pr 0.0000 0.5000 0.7101 1
Pr4 Pr 0.5000 0.0000 0.2899 1
Pr5 Pr 0.5000 0.0000 0.7101 1
Nd1 Nd 0.5000 0.5000 0.0000 1
Sc1 Sc 0.5000 0.5000 0.5000 1
```

---

10.
Material: TeRuW2
Method: DFT, PBE-GGA
State: optimized geometry

Calculated values
Magnetization: 0.00 μB per cell
Uncorrected formation energy: 0.503 eV per atom
Theoretical density: 13.95 g cm⁻³
E: -9.0783 eV per atom

```
data_TeRuW2
_chemical_formula_sum 'Te3 Ru3 W6'
_space_group_name_H-M_alt 'P 1'
_space_group_IT_number 1
_cell_length_a 3.1266
_cell_length_b 3.1266
_cell_length_c 25.1516
_cell_angle_alpha 90.00
_cell_angle_beta 90.00
_cell_angle_gamma 120.00
loop_
_space_group_symop_operation_xyz
'x,y,z'
loop_
_atom_site_label
_atom_site_type_symbol
_atom_site_fract_x
_atom_site_fract_y
_atom_site_fract_z
_atom_site_occupancy
Te1 Te 0.0000 0.0000 0.0000 1
Te2 Te 0.3333 0.6667 0.6667 1
Te3 Te 0.6667 0.3333 0.3333 1
Ru1 Ru 0.0000 0.0000 0.2438 1
Ru2 Ru 0.3333 0.6667 0.9105 1
Ru3 Ru 0.6667 0.3333 0.5771 1
W1 W 0.0000 0.0000 0.4998 1
W2 W 0.0000 0.0000 0.7559 1
W3 W 0.3333 0.6667 0.1665 1
W4 W 0.3333 0.6667 0.4226 1
W5 W 0.6667 0.3333 0.0892 1
W6 W 0.6667 0.3333 0.8331 1
```

---

11.
Material: K2NaReSe4
Method: DFT, PBE-GGA
State: optimized geometry

Calculated values
Magnetization: 3.97 μB per cell
Uncorrected formation energy: -0.666 eV per atom
Theoretical density: 3.73 g cm⁻³
E: -4.4033 eV per atom

```
data_K2NaReSe4
_chemical_formula_sum 'K4 Na2 Re2 Se8'
_space_group_name_H-M_alt 'P 1'
_space_group_IT_number 1
_cell_length_a 7.9551
_cell_length_b 7.9551
_cell_length_c 8.4798
_cell_angle_alpha 90.00
_cell_angle_beta 90.00
_cell_angle_gamma 90.00
loop_
_space_group_symop_operation_xyz
'x,y,z'
loop_
_atom_site_label
_atom_site_type_symbol
_atom_site_fract_x
_atom_site_fract_y
_atom_site_fract_z
_atom_site_occupancy
K1 K 0.0000 0.0000 0.0000 1
K2 K 0.0000 0.5000 0.2500 1
K3 K 0.5000 0.0000 0.7500 1
K4 K 0.5000 0.5000 0.5000 1
Na1 Na 0.0000 0.5000 0.7500 1
Na2 Na 0.5000 0.0000 0.2500 1
Re1 Re 0.0000 0.0000 0.5000 1
Re2 Re 0.5000 0.5000 0.0000 1
Se1 Se 0.1564 0.1914 0.6550 1
Se2 Se 0.1914 0.8436 0.3450 1
Se3 Se 0.3086 0.6564 0.8450 1
Se4 Se 0.3436 0.3086 0.1550 1
Se5 Se 0.6564 0.6914 0.1550 1
Se6 Se 0.6914 0.3436 0.8450 1
Se7 Se 0.8086 0.1564 0.3450 1
Se8 Se 0.8436 0.8086 0.6550 1
```

---

12.
Material: CoW3
Method: DFT, PBE-GGA
State: optimized geometry

Calculated values
Energy of formation: 0.14 eV/atom
Magnetization: 3.03 μB per cell
Theoretical density: 16.94 g cm⁻³
Relative energy among the computed polymorphs: 54 meV/atom
E: -11.3532 eV per atom

```
data_CoW3
_chemical_formula_sum 'Co2 W6'
_space_group_name_H-M_alt 'P 1'
_space_group_IT_number 1
_cell_length_a 4.9284
_cell_length_b 4.9284
_cell_length_c 4.9284
_cell_angle_alpha 90.00
_cell_angle_beta 90.00
_cell_angle_gamma 90.00
loop_
_space_group_symop_operation_xyz
'x,y,z'
loop_
_atom_site_label
_atom_site_type_symbol
_atom_site_fract_x
_atom_site_fract_y
_atom_site_fract_z
_atom_site_occupancy
Co1 Co 0.0000 0.0000 0.0000 1
Co2 Co 0.5000 0.5000 0.5000 1
W1 W 0.0000 0.2500 0.5000 1
W2 W 0.0000 0.7500 0.5000 1
W3 W 0.2500 0.5000 0.0000 1
W4 W 0.5000 0.0000 0.2500 1
W5 W 0.5000 0.0000 0.7500 1
W6 W 0.7500 0.5000 0.0000 1
```